Entry 1:
Compound: ReSiP2Ir
Source: Alexandria via LeMat-Bulk
Functional: meta-GGA SCAN
Structure: PBEsol geometry

## Properties
Volume: 18.4 A^3/atom
ΔE_f (raw): 1238 meV/atom
Size of the total moment: 0.00 μB/f.u.

CIF file:
```
data_ReSiP2Ir
_chemical_formula_sum 'Re1 Si1 P2 Ir1'
_cell_length_a 4.4629
_cell_length_b 4.4629
_cell_length_c 4.6278
_cell_angle_alpha 90.00
_cell_angle_beta 90.00
_cell_angle_gamma 90.00
_symmetry_space_group_name_H-M 'P 4/m m m'
_symmetry_Int_Tables_number 123
_symmetry_space_group_name_Hall '-P 4 2'
loop_
_atom_site_label
_atom_site_type_symbol
_atom_site_fract_x
_atom_site_fract_y
_atom_site_fract_z
Re1 Re 0.0000 0.0000 0.0000
Si1 Si 0.0000 0.0000 0.5000
P1 P 0.0000 0.5000 0.0000
Ir1 Ir 0.5000 0.5000 0.5000
```

***

Entry 2:
Compound: Y2SCl
Source: Alexandria via LeMat-Bulk
Functional: meta-GGA SCAN
Structure: PBEsol geometry

## Properties
Volume: 28.0 A^3/atom
ΔE_f (raw): -1466 meV/atom
Size of the total moment: 0.00 μB/f.u.

CIF file:
```
data_Y2SCl
_chemical_formula_sum 'Y8 S4 Cl4'
_cell_length_a 6.0784
_cell_length_b 6.0784
_cell_length_c 12.1422
_cell_angle_alpha 90.00
_cell_angle_beta 90.00
_cell_angle_gamma 90.00
_symmetry_space_group_name_H-M 'I -4 2 d'
_symmetry_Int_Tables_number 122
_symmetry_space_group_name_Hall 'I -4 2bw'
loop_
_atom_site_label
_atom_site_type_symbol
_atom_site_fract_x
_atom_site_fract_y
_atom_site_fract_z
Y1 Y 0.2361 0.2500 0.1250
S1 S 0.0000 0.0000 0.0000
Cl1 Cl 0.0000 0.0000 0.5000
```

***

Entry 3:
Compound: Al7Ag
Source: Alexandria via LeMat-Bulk
Functional: meta-GGA SCAN
Structure: PBEsol geometry

## Properties
Volume: 16.2 A^3/atom
Calculated formation energy: -0.03 eV per atom
Size of the total moment: 0.08 μB/f.u.

CIF file:
```
data_Al7Ag
_chemical_formula_sum 'Al21 Ag3'
_cell_length_a 2.8745
_cell_length_b 2.8745
_cell_length_c 54.3610
_cell_angle_alpha 90.00
_cell_angle_beta 90.00
_cell_angle_gamma 120.00
_symmetry_space_group_name_H-M 'R -3 m'
_symmetry_Int_Tables_number 166
_symmetry_space_group_name_Hall '-R 3 2"'
loop_
_atom_site_label
_atom_site_type_symbol
_atom_site_fract_x
_atom_site_fract_y
_atom_site_fract_z
Al1 Al 0.0000 0.0000 0.0000
Al2 Al 0.0000 0.0000 0.1256
Al3 Al 0.0000 0.0000 0.2494
Al4 Al 0.0000 0.0000 0.3755
Ag1 Ag 0.0000 0.0000 0.5000
```

***

Entry 4:
Compound: TlRhCl3
Source: Alexandria via LeMat-Bulk
Functional: meta-GGA SCAN
Structure: PBEsol geometry

## Properties
Volume: 21.8 A^3/atom
ΔE_f (raw): -743 meV/atom
Size of the total moment: 0.00 μB/f.u.

CIF file:
```
data_TlRhCl3
_chemical_formula_sum 'Tl1 Rh1 Cl3'
_cell_length_a 4.7757
_cell_length_b 4.7757
_cell_length_c 4.7757
_cell_angle_alpha 90.00
_cell_angle_beta 90.00
_cell_angle_gamma 90.00
_symmetry_space_group_name_H-M 'P m -3 m'
_symmetry_Int_Tables_number 221
_symmetry_space_group_name_Hall '-P 4 2 3'
loop_
_atom_site_label
_atom_site_type_symbol
_atom_site_fract_x
_atom_site_fract_y
_atom_site_fract_z
Tl1 Tl 0.0000 0.0000 0.0000
Rh1 Rh 0.5000 0.5000 0.5000
Cl1 Cl 0.0000 0.5000 0.5000
```

***

Entry 5:
Compound: Sn2OsAu
Source: Alexandria via LeMat-Bulk
Functional: meta-GGA SCAN
Structure: PBEsol geometry

## Properties
Volume: 18.5 A^3/atom
Calculated formation energy: 0.61 eV per atom
Size of the total moment: 0.00 μB/f.u.

CIF file:
```
data_Sn2OsAu
_chemical_formula_sum 'Sn8 Os4 Au4'
_cell_length_a 6.6646
_cell_length_b 6.6646
_cell_length_c 6.6646
_cell_angle_alpha 90.00
_cell_angle_beta 90.00
_cell_angle_gamma 90.00
_symmetry_space_group_name_H-M 'F m -3 m'
_symmetry_Int_Tables_number 225
_symmetry_space_group_name_Hall '-F 4 2 3'
loop_
_atom_site_label
_atom_site_type_symbol
_atom_site_fract_x
_atom_site_fract_y
_atom_site_fract_z
Sn1 Sn 0.2500 0.2500 0.2500
Os1 Os 0.0000 0.0000 0.0000
Au1 Au 0.0000 0.0000 0.5000
```

***

Entry 6:
Compound: Mg2CdSb2
Source: Alexandria via LeMat-Bulk
Functional: meta-GGA SCAN
Structure: PBEsol geometry

## Properties
Volume: 28.0 A^3/atom
ΔE_f (raw): -118 meV/atom
Size of the total moment: 0.00 μB/f.u.

CIF file:
```
data_Mg2CdSb2
_chemical_formula_sum 'Mg4 Cd2 Sb4'
_cell_length_a 5.1125
_cell_length_b 5.1125
_cell_length_c 10.7072
_cell_angle_alpha 90.00
_cell_angle_beta 90.00
_cell_angle_gamma 90.00
_symmetry_space_group_name_H-M 'I 4/m m m'
_symmetry_Int_Tables_number 139
_symmetry_space_group_name_Hall '-I 4 2'
loop_
_atom_site_label
_atom_site_type_symbol
_atom_site_fract_x
_atom_site_fract_y
_atom_site_fract_z
Mg1 Mg 0.0000 0.5000 0.2500
Cd1 Cd 0.0000 0.0000 0.0000
Sb1 Sb 0.0000 0.0000 0.3707
```